[1]
Below is an optimized crystal structure of NiAs2P, with properties calculated at the GGA-PBE level.

Computed properties:
* DFT formation energy: 37.9 kJ per mole of atoms
* theoretical density: 6.453 Mg/m³
* uncorrected energy: -4.73 eV/atom

Unit cell a=4.649 b=4.649 c=2.852 alpha=90.00 beta=90.00 gamma=90.00
Atoms (fractional coordinates):
1 Ni 0.000 0.000 0.000
2 As 0.000 0.500 0.500
3 As 0.500 0.000 0.500
4 P 0.500 0.500 0.000

=====

[2]
Below is an optimized crystal structure of KMgSb, with properties calculated at the GGA-PBE level.

Computed properties:
* theoretical density: 3.148 Mg/m³
* uncorrected energy: -2.87 eV/atom

Unit cell a=4.841 b=4.841 c=8.338 alpha=90.00 beta=90.00 gamma=90.00
Atoms (fractional coordinates):
1 K 0.250 0.250 0.149
2 K 0.750 0.750 0.851
3 Mg 0.250 0.750 0.500
4 Mg 0.750 0.250 0.500
5 Sb 0.250 0.250 0.701
6 Sb 0.750 0.750 0.299

=====

[3]
Below is an optimized crystal structure of Sc2TlTc, with properties calculated at the GGA-PBE level.

Computed properties:
* DFT formation energy: -15.8 kJ per mole of atoms
* theoretical density: 8.284 Mg/m³
* uncorrected energy: -6.51 eV/atom
* offset from the most stable computed form: 136 meV per atom

Unit cell a=4.664 b=4.664 c=3.616 alpha=90.00 beta=90.00 gamma=90.00
Atoms (fractional coordinates):
1 Sc 0.000 0.500 0.000
2 Sc 0.500 0.000 0.000
3 Tl 0.000 0.000 0.500
4 Tc 0.500 0.500 0.500

=====

[4]
Below is an optimized crystal structure of Ce2Ni3As4Ru, with properties calculated at the GGA-PBE level.

Computed properties:
* DFT formation energy: -75.7 kJ per mole of atoms
* theoretical density: 8.372 Mg/m³
* uncorrected energy: -6.49 eV/atom

Unit cell a=4.224 b=4.224 c=9.527 alpha=90.00 beta=90.00 gamma=90.00
Atoms (fractional coordinates):
1 Ce 0.000 0.500 0.248
2 Ce 0.500 0.000 0.752
3 Ni 0.000 0.500 0.884
4 Ni 0.500 0.000 0.116
5 Ni 0.500 0.500 0.500
6 As 0.000 0.000 0.000
7 As 0.000 0.500 0.638
8 As 0.500 0.000 0.362
9 As 0.500 0.500 0.000
10 Ru 0.000 0.000 0.500

=====

[5]
Below is an optimized crystal structure of PmGdMgCo, with properties calculated at the GGA-PBE level.

Computed properties:
* DFT formation energy: 2.9 kJ per mole of atoms
* theoretical density: 6.754 Mg/m³
* uncorrected energy: -6.85 eV/atom

Unit cell a=5.118 b=5.118 c=5.118 alpha=60.00 beta=60.00 gamma=60.00
Atoms (fractional coordinates):
1 Pm 0.000 0.000 0.000
2 Gd 0.500 0.500 0.500
3 Mg 0.250 0.250 0.250
4 Co 0.750 0.750 0.750

=====

[6]
Below is an optimized crystal structure of YErTlHg, with properties calculated at the GGA-PBE level.

Computed properties:
* DFT formation energy: -40.2 kJ per mole of atoms
* theoretical density: 10.421 Mg/m³
* uncorrected energy: -3.84 eV/atom
* offset from the most stable computed form: 5 meV per atom

Unit cell a=5.301 b=5.301 c=5.301 alpha=60.00 beta=60.00 gamma=60.00
Atoms (fractional coordinates):
1 Y 0.000 0.000 0.000
2 Er 0.500 0.500 0.500
3 Tl 0.750 0.750 0.750
4 Hg 0.250 0.250 0.250

=====

[7]
Below is an optimized crystal structure of LaAl3Cu, with properties calculated at the GGA-PBE level.

Computed properties:
* DFT formation energy: -12.5 kJ per mole of atoms
* theoretical density: 4.492 Mg/m³
* uncorrected energy: -4.18 eV/atom
* offset from the most stable computed form: 353 meV per atom

Unit cell a=4.714 b=4.714 c=4.714 alpha=90.00 beta=90.00 gamma=90.00
Atoms (fractional coordinates):
1 La 0.000 0.000 0.000
2 Al 0.000 0.500 0.500
3 Al 0.500 0.000 0.500
4 Al 0.500 0.500 0.000
5 Cu 0.500 0.500 0.500

=====

[8]
Below is an optimized crystal structure of Pr8Ge3AsBr4, with properties calculated at the GGA-PBE level.

Computed properties:
* theoretical density: 6.043 Mg/m³
* uncorrected energy: -5.20 eV/atom

Unit cell a=8.912 b=8.912 c=8.912 alpha=58.04 beta=58.04 gamma=58.04
Atoms (fractional coordinates):
1 Pr 0.236 0.738 0.738
2 Pr 0.238 0.238 0.238
3 Pr 0.262 0.262 0.764
4 Pr 0.262 0.764 0.262
5 Pr 0.738 0.236 0.738
6 Pr 0.738 0.738 0.236
7 Pr 0.762 0.762 0.762
8 Pr 0.764 0.262 0.262
9 Ge 0.000 0.000 0.500
10 Ge 0.000 0.500 0.000
11 Ge 0.500 0.000 0.000
12 As 0.500 0.500 0.500
13 Br 0.000 0.000 0.000
14 Br 0.000 0.500 0.500
15 Br 0.500 0.000 0.500
16 Br 0.500 0.500 0.000

=====

[9]
Below is an optimized crystal structure of PuZnAu2, with properties calculated at the GGA-PBE level.

Computed properties:
* DFT formation energy: -16.4 kJ per mole of atoms
* theoretical density: 14.077 Mg/m³
* uncorrected energy: -5.71 eV/atom

Unit cell a=5.216 b=5.216 c=3.049 alpha=90.00 beta=90.00 gamma=90.00
Atoms (fractional coordinates):
1 Pu 0.000 0.000 0.000
2 Zn 0.500 0.500 0.000
3 Au 0.000 0.500 0.500
4 Au 0.500 0.000 0.500

=====

[10]
Below is an optimized crystal structure of Ti2Mn2Au, with properties calculated at the GGA-PBE level.

Computed properties:
* DFT formation energy: -11.3 kJ per mole of atoms
* theoretical density: 9.238 Mg/m³
* uncorrected energy: -7.60 eV/atom

Unit cell a=6.874 b=6.874 c=3.063 alpha=90.00 beta=90.00 gamma=90.00
Atoms (fractional coordinates):
1 Ti 0.193 0.307 0.000
2 Ti 0.307 0.807 0.000
3 Ti 0.693 0.193 0.000
4 Ti 0.807 0.693 0.000
5 Mn 0.106 0.606 0.500
6 Mn 0.394 0.106 0.500
7 Mn 0.606 0.894 0.500
8 Mn 0.894 0.394 0.500
9 Au 0.000 0.000 0.500
10 Au 0.500 0.500 0.500

=====

[11]
Below is an optimized crystal structure of LaPrSm2S4, with properties calculated at the GGA-PBE level.

Computed properties:
* theoretical density: 6.170 Mg/m³
* uncorrected energy: -6.52 eV/atom

Unit cell a=8.141 b=8.141 c=8.141 alpha=120.00 beta=119.98 gamma=90.01
Atoms (fractional coordinates):
1 La 0.000 0.000 0.000
2 La 0.500 0.000 0.500
3 Pr 0.500 0.000 0.000
4 Pr 0.500 0.500 0.500
5 Sm 0.000 0.000 0.500
6 Sm 0.000 0.500 0.000
7 Sm 0.000 0.500 0.500
8 Sm 0.500 0.500 0.000
9 S 0.241 0.747 0.494
10 S 0.247 0.253 0.994
11 S 0.247 0.254 0.507
12 S 0.247 0.740 0.993
13 S 0.753 0.260 0.007
14 S 0.753 0.746 0.493
15 S 0.753 0.747 0.006
16 S 0.759 0.253 0.506

=====

[12]
Below is an optimized crystal structure of ThZnIr, with properties calculated at the GGA-PBE level.

Computed properties:
* DFT formation energy: -33.5 kJ per mole of atoms
* theoretical density: 12.232 Mg/m³
* uncorrected energy: -6.20 eV/atom

Unit cell a=5.222 b=5.222 c=5.222 alpha=136.56 beta=136.56 gamma=63.11
Atoms (fractional coordinates):
1 Th 0.000 0.000 0.000
2 Zn 0.324 0.324 0.000
3 Ir 0.625 0.625 0.000

=====

[13]
Below is an optimized crystal structure of BaSrSnSb2, with properties calculated at the GGA-PBE level.

Computed properties:
* theoretical density: 5.329 Mg/m³
* uncorrected energy: -3.81 eV/atom

Unit cell a=8.570 b=8.570 c=6.533 alpha=90.00 beta=90.00 gamma=130.29
Atoms (fractional coordinates):
1 Ba 0.250 0.750 0.774
2 Ba 0.750 0.250 0.226
3 Sr 0.250 0.250 0.500
4 Sr 0.750 0.750 0.500
5 Sn 0.000 0.000 0.000
6 Sn 0.500 0.500 0.000
7 Sb 0.156 0.844 0.275
8 Sb 0.344 0.656 0.275
9 Sb 0.656 0.344 0.725
10 Sb 0.844 0.156 0.725

=====

[14]
Below is an optimized crystal structure of LaNbAsSe2, with properties calculated at the GGA-PBE level.

Computed properties:
* theoretical density: 6.037 Mg/m³
* uncorrected energy: -6.15 eV/atom
* offset from the most stable computed form: 0 meV per atom

Unit cell a=5.029 b=5.029 c=5.053 alpha=90.00 beta=90.00 gamma=90.00
Atoms (fractional coordinates):
1 La 0.000 0.000 0.000
2 Nb 0.500 0.500 0.500
3 As 0.500 0.500 0.000
4 Se 0.000 0.500 0.500
5 Se 0.500 0.000 0.500

=====

[15]
Below is an optimized crystal structure of HgCCl3, with properties calculated at the GGA-PBE level.

Computed properties:
* theoretical density: 5.549 Mg/m³
* uncorrected energy: -2.19 eV/atom
* offset from the most stable computed form: 0 meV per atom

Unit cell a=4.570 b=4.570 c=4.570 alpha=90.00 beta=90.00 gamma=90.00
Atoms (fractional coordinates):
1 Hg 0.000 0.000 0.000
2 C 0.500 0.500 0.500
3 Cl 0.000 0.500 0.500
4 Cl 0.500 0.000 0.500
5 Cl 0.500 0.500 0.000

=====

[16]
Below is an optimized crystal structure of Li2ScCd, with properties calculated at the GGA-PBE level.

Computed properties:
* DFT formation energy: -7.7 kJ per mole of atoms
* theoretical density: 3.496 Mg/m³
* uncorrected energy: -2.85 eV/atom
* offset from the most stable computed form: 0 meV per atom

Unit cell a=3.363 b=3.363 c=7.191 alpha=90.00 beta=90.00 gamma=90.00
Atoms (fractional coordinates):
1 Li 0.000 0.000 0.000
2 Li 0.500 0.500 0.222
3 Sc 0.000 0.000 0.516
4 Cd 0.500 0.500 0.779

=====

[17]
Below is an optimized crystal structure of NdDy4Cu5, with properties calculated at the GGA-PBE level.

Computed properties:
* DFT formation energy: -22.5 kJ per mole of atoms
* theoretical density: 8.680 Mg/m³
* uncorrected energy: -4.60 eV/atom

Unit cell a=3.471 b=3.471 c=17.658 alpha=90.00 beta=90.00 gamma=90.00
Atoms (fractional coordinates):
1 Nd 0.000 0.000 0.000
2 Dy 0.000 0.000 0.204
3 Dy 0.000 0.000 0.401
4 Dy 0.000 0.000 0.599
5 Dy 0.000 0.000 0.796
6 Cu 0.500 0.500 0.110
7 Cu 0.500 0.500 0.302
8 Cu 0.500 0.500 0.500
9 Cu 0.500 0.500 0.698
10 Cu 0.500 0.500 0.890

=====

[18]
Below is an optimized crystal structure of CdGeSe2Br, with properties calculated at the GGA-PBE level.

Computed properties:
* theoretical density: 5.255 Mg/m³
* uncorrected energy: -2.75 eV/atom
* offset from the most stable computed form: 0 meV per atom

Unit cell a=5.063 b=5.063 c=5.213 alpha=90.00 beta=90.00 gamma=90.00
Atoms (fractional coordinates):
1 Cd 0.000 0.000 0.000
2 Ge 0.500 0.500 0.500
3 Se 0.000 0.500 0.500
4 Se 0.500 0.000 0.500
5 Br 0.500 0.500 0.000

=====

[19]
Below is an optimized crystal structure of TbY3Ga8, with properties calculated at the GGA-PBE level.

Computed properties:
* DFT formation energy: -55.1 kJ per mole of atoms
* theoretical density: 6.862 Mg/m³
* uncorrected energy: -4.59 eV/atom

Unit cell a=9.629 b=9.629 c=9.629 alpha=33.18 beta=33.18 gamma=33.18
Atoms (fractional coordinates):
1 Tb 0.000 0.000 0.000
2 Y 0.124 0.124 0.124
3 Y 0.500 0.500 0.500
4 Y 0.624 0.624 0.624
5 Ga 0.062 0.062 0.562
6 Ga 0.062 0.562 0.062
7 Ga 0.062 0.562 0.562
8 Ga 0.312 0.312 0.312
9 Ga 0.562 0.062 0.062
10 Ga 0.562 0.062 0.562
11 Ga 0.562 0.562 0.062
12 Ga 0.812 0.812 0.812

=====

[20]
Below is an optimized crystal structure of ErGa6, with properties calculated at the GGA-PBE level.

Computed properties:
* DFT formation energy: 18.8 kJ per mole of atoms
* theoretical density: 5.739 Mg/m³
* uncorrected energy: -3.05 eV/atom
* offset from the most stable computed form: 486 meV per atom

Unit cell a=6.038 b=6.038 c=6.038 alpha=109.47 beta=109.47 gamma=109.47
Atoms (fractional coordinates):
1 Er 0.000 0.000 0.000
2 Ga 0.250 0.500 0.750
3 Ga 0.250 0.750 0.500
4 Ga 0.500 0.250 0.750
5 Ga 0.500 0.750 0.250
6 Ga 0.750 0.250 0.500
7 Ga 0.750 0.500 0.250

=====

[21]
Below is an optimized crystal structure of Pr6Si2RuCl3, with properties calculated at the GGA-PBE level.

Computed properties:
* theoretical density: 5.472 Mg/m³
* uncorrected energy: -5.59 eV/atom

Unit cell a=9.631 b=9.631 c=8.834 alpha=104.23 beta=104.23 gamma=25.11
Atoms (fractional coordinates):
1 Pr 0.005 0.005 0.227
2 Pr 0.327 0.327 0.427
3 Pr 0.348 0.348 0.900
4 Pr 0.652 0.652 0.100
5 Pr 0.673 0.673 0.573
6 Pr 0.995 0.995 0.773
7 Si 0.165 0.165 0.340
8 Si 0.835 0.835 0.660
9 Ru 0.500 0.500 0.000
10 Cl 0.173 0.173 0.838
11 Cl 0.500 0.500 0.500
12 Cl 0.827 0.827 0.162

=====

[22]
Below is an optimized crystal structure of Ac2CdCo, with properties calculated at the GGA-PBE level.

Computed properties:
* DFT formation energy: -7.0 kJ per mole of atoms
* theoretical density: 8.016 Mg/m³
* uncorrected energy: -4.13 eV/atom
* offset from the most stable computed form: 36 meV per atom

Unit cell a=8.764 b=8.764 c=8.764 alpha=27.83 beta=27.83 gamma=27.83
Atoms (fractional coordinates):
1 Ac 0.000 0.000 0.000
2 Ac 0.208 0.208 0.208
3 Cd 0.771 0.771 0.771
4 Co 0.605 0.605 0.605

=====

[23]
Below is an optimized crystal structure of RbY2MnSe4, with properties calculated at the GGA-PBE level.

Computed properties:
* theoretical density: 4.822 Mg/m³
* uncorrected energy: -6.07 eV/atom

Unit cell a=7.524 b=7.524 c=14.521 alpha=90.00 beta=90.00 gamma=147.91
Atoms (fractional coordinates):
1 Rb 0.108 0.892 0.750
2 Rb 0.892 0.108 0.250
3 Y 0.368 0.632 0.560
4 Y 0.368 0.632 0.940
5 Y 0.632 0.368 0.060
6 Y 0.632 0.368 0.440
7 Mn 0.168 0.832 0.250
8 Mn 0.832 0.168 0.750
9 Se 0.000 0.000 0.000
10 Se 0.000 0.000 0.500
11 Se 0.263 0.737 0.108
12 Se 0.263 0.737 0.392
13 Se 0.429 0.571 0.750
14 Se 0.571 0.429 0.250
15 Se 0.737 0.263 0.608
16 Se 0.737 0.263 0.892

=====

[24]
Below is an optimized crystal structure of FeTe2W, with properties calculated at the GGA-PBE level.

Computed properties:
* theoretical density: 10.524 Mg/m³
* uncorrected energy: -6.26 eV/atom
* offset from the most stable computed form: 696 meV per atom

Unit cell a=4.543 b=4.543 c=5.642 alpha=100.10 beta=100.10 gamma=43.07
Atoms (fractional coordinates):
1 Fe 0.000 0.000 0.000
2 Te 0.237 0.237 0.746
3 Te 0.763 0.763 0.254
4 W 0.500 0.500 0.500

=====

[25]
Below is an optimized crystal structure of BaCe2PrSe4, with properties calculated at the GGA-PBE level.

Computed properties:
* theoretical density: 6.269 Mg/m³
* uncorrected energy: -5.88 eV/atom

Unit cell a=7.519 b=4.303 c=7.570 alpha=90.00 beta=108.98 gamma=90.00
Atoms (fractional coordinates):
1 Ba 0.000 0.000 0.000
2 Ce 0.000 0.500 0.500
3 Ce 0.500 0.000 0.500
4 Pr 0.500 0.500 0.000
5 Se 0.256 0.000 0.739
6 Se 0.267 0.500 0.269
7 Se 0.733 0.500 0.731
8 Se 0.744 0.000 0.261